The following is a DFT calculation (GGA-PBE) of a relaxed Mg8In2Ru crystal.

## Properties
The total magnetization is 0.000 μB/atom. Its total energy is -2.55 eV per atom. As for the formation enthalpy at 0 K: -0.051 eV/atom.

Lattice parameters (Å, degrees): 15.6923 4.7137 7.1095 90.00 115.39 90.00
Space group C2/m (No. 12)
Asymmetric unit:
1 Mg 0.0100 0.0000 0.2831 [4 per cell]
2 Mg 0.1181 0.5000 0.9019 [4 per cell]
3 Mg 0.1446 0.5000 0.3933 [4 per cell]
4 Mg 0.1721 0.0000 0.6988 [4 per cell]
5 In 0.1850 0.0000 0.1744 [4 per cell]
6 Ru 0.0000 0.5000 0.5000 [2 per cell]